A plane-wave DFT calculation with GGA-PBE was carried out for a geometry-optimized NdDyY5Ho2 structure.

Results
The density of states at the Fermi level is 15.6 states/eV/f.u. The total magnetization is 0.00 μB/f.u. The final energy comes out at -5.49 eV per atom.

a b c (Å): 5.629 10.376 10.555
angles (deg): 90.00 90.00 105.74
Sites, in units of the cell vectors:
1 Nd 0.585 0.169 0.949
2 Nd 0.415 0.831 0.449
3 Dy 0.803 0.605 0.513
4 Dy 0.197 0.395 0.013
5 Y 0.384 0.768 0.023
6 Y 0.721 0.442 0.818
7 Y 0.479 0.957 0.736
8 Y 0.298 0.597 0.708
9 Y 0.983 0.966 0.523
10 Y 0.616 0.232 0.523
11 Y 0.279 0.558 0.318
12 Y 0.521 0.043 0.236
13 Y 0.702 0.403 0.208
14 Y 0.017 0.034 0.023
15 Ho 0.887 0.775 0.818
16 Ho 0.111 0.223 0.735
17 Ho 0.113 0.225 0.318
18 Ho 0.889 0.777 0.235

---

A plane-wave DFT calculation with GGA-PBE was carried out for a geometry-optimized CeNd3Te4 structure.

Results
The density of states at the Fermi level is 11.0 states/eV/f.u. The total magnetization is 1.41 μB/f.u. As for the formation energy from raw total energies: -1.393 eV per atom. The energy above the lowest structure with this stoichiometry comes out at 21 meV/atom.

a b c (Å): 4.427 4.427 30.387
angles (deg): 90.00 90.00 120.00
Last column: magnetic moment on the atom in μB.
Sites, in units of the cell vectors:
1 Te 0.667 0.333 0.938  0.00
2 Te 0.333 0.667 0.062  0.00
3 Te 0.333 0.667 0.438  0.00
4 Te 0.667 0.333 0.562  0.00
5 Te 0.000 0.000 0.814  -0.01
6 Te 0.000 0.000 0.186  -0.01
7 Te 0.000 0.000 0.314  -0.01
8 Te 0.000 0.000 0.686  -0.01
9 Nd 0.000 0.000 0.000  0.00
10 Nd 0.000 0.000 0.500  0.00
11 Nd 0.333 0.667 0.876  0.00
12 Nd 0.667 0.333 0.124  0.00
13 Nd 0.667 0.333 0.376  0.00
14 Nd 0.333 0.667 0.624  0.00
15 Ce 0.667 0.333 0.750  1.07
16 Ce 0.333 0.667 0.250  1.07

---

A plane-wave DFT calculation with GGA-PBE was carried out for a geometry-optimized SrAc2Pr structure.

Results
The density of states at the Fermi level is 5.5 states/eV/f.u. The total magnetization is 0.00 μB/f.u. The energy above the lowest structure with this stoichiometry comes out at 2 meV/atom.

a b c (Å): 3.970 3.970 13.220
angles (deg): 81.37 81.37 60.00
Sites, in units of the cell vectors:
1 Sr 0.500 0.500 0.500
2 Ac 0.078 0.078 0.766
3 Ac 0.255 0.255 0.234
4 Pr 0.666 0.666 0.000

---

A plane-wave DFT calculation with GGA-PBE was carried out for a geometry-optimized TiCuSn2 structure.

Results
The density of states at the Fermi level is 2.8 states/eV/f.u. The total magnetization is 0.00 μB/f.u. The final energy comes out at -4.89 eV per atom.

a b c (Å): 3.185 3.185 9.877
angles (deg): 80.72 80.72 60.00
Sites, in units of the cell vectors:
1 Sn 0.087 0.087 0.739
2 Sn 0.913 0.913 0.261
3 Cu 0.000 0.000 0.000
4 Ti 0.500 0.500 0.500

---

A plane-wave DFT calculation with GGA-PBE was carried out for a geometry-optimized YTh2Co2 structure.

Results
The density of states at the Fermi level is 5.1 states/eV/f.u. The total magnetization is 0.00 μB/f.u. The energy above the lowest structure with this stoichiometry comes out at 175 meV/atom.

a b c (Å): 5.176 5.176 6.115
angles (deg): 121.90 121.90 86.94
Sites, in units of the cell vectors:
1 Y 0.000 0.000 0.000
2 Th 0.232 0.768 0.500
3 Th 0.768 0.232 0.500
4 Co 0.522 0.522 0.209
5 Co 0.478 0.478 0.791

---

A plane-wave DFT calculation with GGA-PBE was carried out for a geometry-optimized SrMgTaN2 structure.

Results
The density of states at the Fermi level is 5.1 states/eV/f.u. The total magnetization is 0.00 μB/f.u. As for the formation energy from raw total energies: 0.740 eV per atom.

a b c (Å): 4.198 6.256 4.198
angles (deg): 90.00 90.00 90.00
Sites, in units of the cell vectors:
1 Sr 0.000 0.500 0.000
2 Mg 0.500 0.500 0.500
3 N 0.000 0.000 0.500
4 N 0.500 0.000 0.000
5 Ta 0.000 0.000 0.000